Here is an optimized crystal structure of YBe2Rh2 from Alexandria. Energies are from PBE-GGA.

Lattice parameters (Å, degrees): 4.148 4.148 8.682 90.00 90.00 90.00
Space group I4/mmm (No. 139)
One atom of each set of equivalent atoms:
Y1 0.000 0.000 0.000
Be1 0.000 0.000 0.356
Rh1 0.000 0.500 0.250

Properties
The value obtained for the formation energy is -0.672 eV/atom. The value obtained for the energy above the most stable polymorph in this dataset is 0 meV/atom. The value obtained for the calculated volume is 74.7 Å³/f.u.

=====

Here is an optimized crystal structure of Ca2LaZn3 from Alexandria. Energies are from PBE-GGA.

Lattice parameters (Å, degrees): 5.275 15.770 7.381 90.00 90.00 90.00
Space group Cmmm (No. 65)
One atom of each set of equivalent atoms:
Ca1 0.000 0.000 0.000
Ca2 0.000 0.000 0.500
Ca3 0.000 0.332 0.000
La1 0.000 0.336 0.500
Zn1 0.000 0.165 0.250
Zn2 0.000 0.500 0.252

Properties
The value obtained for the formation energy is -0.266 eV/atom. The value obtained for the energy above the most stable polymorph in this dataset is 0 meV/atom. The value obtained for the calculated volume is 153.5 Å³/f.u.

=====

Here is an optimized crystal structure of MnFe2Ni from Alexandria. Energies are from PBE-GGA.

Lattice parameters (Å, degrees): 5.750 5.750 5.750 90.00 90.00 90.00
Space group F-43m (No. 216)
One atom of each set of equivalent atoms:
Mn1 0.000 0.000 0.000
Fe1 0.000 0.000 0.500
Fe2 0.250 0.250 0.750
Ni1 0.250 0.250 0.250

Properties
The value obtained for the formation energy is 0.069 eV/atom. The value obtained for the calculated volume is 47.5 Å³/f.u.

=====

Here is an optimized crystal structure of ErSn2Bi from Alexandria. Energies are from PBE-GGA.

Lattice parameters (Å, degrees): 5.0259 5.0259 23.4687 90.00 90.00 120.00
Space group R-3m (No. 166, hexagonal axes)
One atom of each set of equivalent atoms:
Er1 0.0000 0.0000 0.0000
Sn1 0.0000 0.0000 0.3774
Bi1 0.0000 0.0000 0.5000

Properties
The value obtained for the formation energy is 0.337 eV/atom. The value obtained for the energy above the most stable polymorph in this dataset is 665 meV/atom. The value obtained for the calculated volume is 171.1 Å³/f.u.

=====

Here is an optimized crystal structure of Pr2YMg2In2 from Alexandria. Energies are from PBE-GGA.

Lattice parameters (Å, degrees): 5.0182 5.0182 27.2200 90.00 90.00 120.00
Space group R-3m (No. 166, hexagonal axes)
One atom of each set of equivalent atoms:
Pr1 0.0000 0.0000 0.1288
Y1 0.0000 0.0000 0.0000
Mg1 0.0000 0.0000 0.3957
In1 0.0000 0.0000 0.2665

Properties
The value obtained for the formation energy is -0.261 eV/atom. The value obtained for the calculated volume is 197.9 Å³/f.u.

=====

Here is an optimized crystal structure of Cu7NiAu12 from Alexandria. Energies are from PBE-GGA.

Lattice parameters (Å, degrees): 11.2859 11.2859 8.6857 90.00 90.00 120.00
Space group R-3m (No. 166, hexagonal axes)
One atom of each set of equivalent atoms:
Cu1 0.0000 0.0000 0.0000
Cu2 0.0748 0.5374 0.1180
Ni1 0.0000 0.0000 0.5000
Au1 0.0000 0.2718 0.0000
Au2 0.0827 0.1654 0.7480

Properties
The value obtained for the formation energy is 0.021 eV/atom. The value obtained for the calculated volume is 319.4 Å³/f.u.

=====

Q: Which D(E_F) values were calculated for the entries above? A: 1.94 5.33 2.84 2.91 4.92 5.67, in states/eV/f.u..